1.
Computed, not measured: a relaxed BaAgSe2 crystal at the PBE-GGA level of DFT.

Properties
Total energy, eV for the cell shown: -15.22
Uncorrected formation energy, eV per atom: -0.8691
D(E_F), states/eV/cell: 3.5

a b c (Å): 5.598 5.598 5.598
angles (deg): 134.10 109.96 87.86
Positions (direct):
Ba: 0.000 0.000 0.000
Ag: 0.500 0.500 0.000
Se: 0.302 0.802 0.500
Se: 0.698 0.198 0.500

2.
Computed, not measured: a relaxed Ba2Ag3Se4 crystal at the PBE-GGA level of DFT.

Properties
Total energy, eV for the cell shown: -69.37
Uncorrected formation energy, eV per atom: -0.9277
D(E_F), states/eV/cell: 2.5

a b c (Å): 8.790 8.790 8.708
angles (deg): 90.00 90.00 136.45
Positions (direct):
Ba: 0.121 0.879 0.929
Ba: 0.379 0.621 0.429
Ba: 0.621 0.379 0.571
Ba: 0.879 0.121 0.071
Ag: 0.000 0.000 0.500
Ag: 0.043 0.457 0.750
Ag: 0.457 0.043 0.250
Ag: 0.500 0.500 0.000
Ag: 0.543 0.957 0.750
Ag: 0.957 0.543 0.250
Se: 0.193 0.807 0.580
Se: 0.208 0.292 0.750
Se: 0.292 0.208 0.250
Se: 0.307 0.693 0.080
Se: 0.693 0.307 0.920
Se: 0.708 0.792 0.750
Se: 0.792 0.708 0.250
Se: 0.807 0.193 0.420

> Among the records above, which one has the lowest uncorrected formation energy?

Ba2Ag3Se4